# PBE-GGA AgHgSO, optimized geometry
data_AgHgSO
_symmetry_space_group_name_H-M 'P 1'
_symmetry_Int_Tables_number 1
_cell_length_a 7.4663
_cell_length_b 9.9099
_cell_length_c 7.7741
_cell_angle_alpha 90.00
_cell_angle_beta 90.00
_cell_angle_gamma 90.00
loop_
_symmetry_equiv_pos_as_xyz
'x,y,z'
loop_
_atom_site_label
_atom_site_type_symbol
_atom_site_fract_x
_atom_site_fract_y
_atom_site_fract_z
_atom_site_occupancy
Ag1 Ag 0.0045 0.2420 0.2461 1
Ag2 Ag 0.0045 0.2580 0.7461 1
Ag3 Ag 0.4955 0.7420 0.2461 1
Ag4 Ag 0.4955 0.7580 0.7461 1
Ag5 Ag 0.5045 0.2420 0.2539 1
Ag6 Ag 0.5045 0.2580 0.7539 1
Ag7 Ag 0.9955 0.7420 0.2539 1
Ag8 Ag 0.9955 0.7580 0.7539 1
Hg1 Hg 0.2483 0.5216 0.9967 1
Hg2 Hg 0.2483 0.9784 0.4967 1
Hg3 Hg 0.2517 0.0216 0.9967 1
Hg4 Hg 0.2517 0.4784 0.4967 1
Hg5 Hg 0.7483 0.5216 0.5033 1
Hg6 Hg 0.7483 0.9784 0.0033 1
Hg7 Hg 0.7517 0.0216 0.5033 1
Hg8 Hg 0.7517 0.4784 0.0033 1
S1 S 0.0379 0.0079 0.7438 1
S2 S 0.0379 0.4921 0.2438 1
S3 S 0.4621 0.5079 0.7438 1
S4 S 0.4621 0.9921 0.2438 1
S5 S 0.5379 0.0079 0.7562 1
S6 S 0.5379 0.4921 0.2562 1
S7 S 0.9621 0.5079 0.7562 1
S8 S 0.9621 0.9921 0.2562 1
O1 O 0.2480 0.7415 0.3922 1
O2 O 0.2480 0.7585 0.8922 1
O3 O 0.2520 0.2415 0.3922 1
O4 O 0.2520 0.2585 0.8922 1
O5 O 0.7480 0.7415 0.1078 1
O6 O 0.7480 0.7585 0.6078 1
O7 O 0.7520 0.2415 0.1078 1
O8 O 0.7520 0.2585 0.6078 1
# calculated total energy	-97.08	eV for the cell shown
# symmetry	Pbca